DFT (PBE) results for ZrIr2Ru after structural relaxation.

As for the energy above the most stable polymorph in this dataset: 2.05 eV per formula unit. As for the size of the total moment: 0.00 Bohr magnetons per cell. The calculation puts the formation energy at -0.02 eV per atom. The crystal system is trigonal. The value obtained for the energy is -35.62 eV per formula unit.

It has space group R-3m (No. 166, hexagonal axes), with a = 2.8148 Å, b = 2.8148 Å, c = 27.7990 Å, α = 90.00°, β = 90.00° and γ = 120.00°. Symmetry generates all atoms from Zr at (0.0000, 0.0000, 0.0000), Ir at (0.0000, 0.0000, 0.2443) and Ru at (0.0000, 0.0000, 0.5000).

---

DFT (PBE) results for Ti2AlS4 after structural relaxation.

As for the size of the total moment: 6.65 Bohr magnetons per cell. The crystal system is tetragonal. The value obtained for the energy is -44.59 eV per formula unit. The uncorrected formation energy is -1.2218 eV per atom.

It has space group I4_1/amd (No. 141, origin choice 2), with a = 7.1682 Å, b = 7.1682 Å, c = 10.1296 Å, α = 90.00°, β = 90.00° and γ = 90.00°. Symmetry generates all atoms from Ti at (0.0000, 0.0000, 0.0000), Al at (0.0000, 0.2500, 0.3750) and S at (0.0000, 0.0083, 0.7540).

---

DFT (PBE) results for K2RhAu after structural relaxation.

As for the energy above the most stable polymorph in this dataset: 0.99 eV per formula unit. As for the size of the total moment: 0.00 Bohr magnetons per cell. The calculation puts the formation energy at 0.40 eV per atom. The crystal system is tetragonal. The value obtained for the energy is -11.24 eV per formula unit.

It has space group P4/mmm (No. 123), with a = 4.2989 Å, b = 4.2989 Å, c = 5.1060 Å, α = 90.00°, β = 90.00° and γ = 90.00°. Symmetry generates all atoms from K at (0.0000, 0.5000, 0.0000), Rh at (0.0000, 0.0000, 0.5000) and Au at (0.5000, 0.5000, 0.5000).

---

DFT (PBE) results for HoEr3In2 after structural relaxation.

As for the energy above the most stable polymorph in this dataset: 2.40 eV per formula unit. As for the size of the total moment: 0.00 Bohr magnetons per cell. The calculation puts the formation energy at 0.13 eV per atom. The crystal system is orthorhombic. The value obtained for the energy is -22.96 eV per formula unit.

It has space group Immm (No. 71), with a = 3.3706 Å, b = 5.6309 Å, c = 18.6053 Å, α = 90.00°, β = 90.00° and γ = 90.00°. Symmetry generates all atoms from Ho at (0.0000, 0.0000, 0.0000), Er at (0.0000, 0.0000, 0.1881), Er at (0.0000, 0.5000, 0.0000) and In at (0.0000, 0.0000, 0.3550).

---

DFT (PBE) results for AsPdAu2 after structural relaxation.

As for the size of the total moment: 0.00 Bohr magnetons per cell. The calculation puts the formation energy at 0.26 eV per atom. The crystal system is trigonal. The value obtained for the energy is -15.37 eV per formula unit.

It has space group R-3m (No. 166, hexagonal axes), with a = 2.8649 Å, b = 2.8649 Å, c = 31.0808 Å, α = 90.00°, β = 90.00° and γ = 120.00°. Symmetry generates all atoms from As at (0.0000, 0.0000, 0.0000), Pd at (0.0000, 0.0000, 0.5000) and Au at (0.0000, 0.0000, 0.4129).

---

DFT (PBE) results for Hf2Ni2Sn after structural relaxation.

As for the size of the total moment: 0.00 Bohr magnetons per cell. The calculation puts the formation energy at -0.57 eV per atom. The crystal system is tetragonal. The value obtained for the energy is -38.31 eV per formula unit.

It has space group P4/mbm (No. 127), with a = 7.0731 Å, b = 7.0731 Å, c = 3.4005 Å, α = 90.00°, β = 90.00° and γ = 90.00°. Symmetry generates all atoms from Hf at (0.1654, 0.3346, 0.0000), Ni at (0.1261, 0.6261, 0.5000) and Sn at (0.0000, 0.0000, 0.5000).

---

DFT (PBE) results for KLiPt after structural relaxation.

As for the energy above the most stable polymorph in this dataset: 0.50 eV per formula unit. As for the size of the total moment: 0.00 Bohr magnetons per cell. The calculation puts the formation energy at -0.01 eV per atom. The crystal system is trigonal. The value obtained for the energy is -9.08 eV per formula unit.

It has space group P3m1 (No. 156), with a = 4.9794 Å, b = 4.9794 Å, c = 2.9627 Å, α = 90.00°, β = 90.00° and γ = 120.00°. Symmetry generates all atoms from K at (0.0000, 0.0000, 0.0000), Li at (0.6667, 0.3333, 0.4975) and Pt at (0.3333, 0.6667, 0.4999).

---

DFT (PBE) results for UF4 after structural relaxation.

As for the energy above the most stable polymorph in this dataset: 0.19 eV per formula unit. As for the size of the total moment: 8.00 Bohr magnetons per cell. The crystal system is monoclinic. The value obtained for the energy is -36.65 eV per formula unit. The uncorrected formation energy is -3.5759 eV per atom.

It has space group C2/c (No. 15), with a = 7.2153 Å, b = 5.3763 Å, c = 7.7177 Å, α = 90.00°, β = 92.04° and γ = 90.00°. Symmetry generates all atoms from U at (0.0000, 0.0444, 0.2500), F at (0.0556, 0.2152, 0.9790) and F at (0.2241, 0.3312, 0.2964).

---

DFT (PBE) results for CaTmCuPb after structural relaxation.

As for the size of the total moment: 0.00 Bohr magnetons per cell. The calculation puts the formation energy at -0.30 eV per atom. The crystal system is cubic. The value obtained for the energy is -15.48 eV per formula unit.

It has space group F-43m (No. 216), with a = 7.3759 Å, b = 7.3759 Å, c = 7.3759 Å, α = 90.00°, β = 90.00° and γ = 90.00°. Symmetry generates all atoms from Ca at (0.0000, 0.0000, 0.0000), Tm at (0.0000, 0.0000, 0.5000), Cu at (0.2500, 0.2500, 0.7500) and Pb at (0.2500, 0.2500, 0.2500).

---

DFT (PBE) results for CoTeRu2 after structural relaxation.

As for the size of the total moment: 1.41 Bohr magnetons per cell. The crystal system is tetragonal. The value obtained for the energy is -26.87 eV per formula unit. The uncorrected formation energy is 0.4833 eV per atom.

It has space group P4mm (No. 99), with a = 2.9701 Å, b = 2.9701 Å, c = 6.9685 Å, α = 90.00°, β = 90.00° and γ = 90.00°. Symmetry generates all atoms from Co at (0.0000, 0.0000, 0.0000), Te at (0.5000, 0.5000, 0.7469), Ru at (0.0000, 0.0000, 0.4684) and Ru at (0.5000, 0.5000, 0.2289).

---

DFT (PBE) results for BaPtSe2 after structural relaxation.

As for the energy above the most stable polymorph in this dataset: 1.36 eV per formula unit. As for the size of the total moment: 0.00 Bohr magnetons per cell. The crystal system is orthorhombic. The value obtained for the energy is -17.87 eV per formula unit. The uncorrected formation energy is -0.7344 eV per atom.

It has space group Cmmm (No. 65), with a = 4.0223 Å, b = 11.2375 Å, c = 7.5875 Å, α = 90.00°, β = 90.00° and γ = 90.00°. Symmetry generates all atoms from Ba at (0.0000, 0.0000, 0.0000), Pt at (0.0000, 0.0000, 0.5000) and Se at (0.0000, 0.5000, 0.3034).

---

DFT (PBE) results for SiB3C after structural relaxation.

As for the energy above the most stable polymorph in this dataset: 1.14 eV per formula unit. As for the size of the total moment: 0.00 Bohr magnetons per cell. The crystal system is monoclinic. The value obtained for the energy is -32.52 eV per formula unit. The uncorrected formation energy is 0.4311 eV per atom.

It has space group Cm (No. 8), with a = 6.3431 Å, b = 2.8747 Å, c = 6.0117 Å, α = 90.00°, β = 105.68° and γ = 90.00°. Symmetry generates all atoms from Si at (0.0000, 0.0000, 0.0000), B at (0.0761, 0.0000, 0.3722), B at (0.2172, 0.5000, 0.7233), B at (0.2711, 0.0000, 0.8799) and C at (0.1087, 0.5000, 0.4617).